1.
Entry from Alexandria via LeMat-Bulk: MgRe at its PBEsol-relaxed geometry (meta-GGA SCAN).

Structure (POSCAR):
```
MgRe
1.0
4.5483 0.0000 0.0000
0.0000 2.6703 0.0000
0.0000 0.0000 5.2448
Mg Re
2 2
Direct
0.2500 0.0000 0.1396
0.7500 0.0000 0.8604
0.2500 0.5000 0.6204
0.7500 0.5000 0.3796
```

Summary:
**Electronic total energy**: -151.1 eV per cell
**Total magnetic moment**: 0.0 μB/f.u.
**V**: 15.9 A^3/atom
**Energy of formation from the pure elements**: 26 kJ per mole of atoms


2.
Entry from Alexandria via LeMat-Bulk: Ti2CoO5 at its PBEsol-relaxed geometry (meta-GGA SCAN).

Structure (POSCAR):
```
Ti2CoO5
1.0
1.8589 -4.8343 0.0000
1.8589 4.8343 0.0000
0.0000 0.0000 10.0010
Ti Co O
4 2 10
Direct
0.1348 0.8652 0.5673
0.1348 0.8652 0.9327
0.8652 0.1348 0.0673
0.8652 0.1348 0.4327
0.1889 0.8111 0.2500
0.8111 0.1889 0.7500
0.0474 0.9526 0.1143
0.0474 0.9526 0.3857
0.2164 0.7836 0.7500
0.3136 0.6864 0.0612
0.3136 0.6864 0.4388
0.6864 0.3136 0.5612
0.6864 0.3136 0.9388
0.7836 0.2164 0.2500
0.9526 0.0474 0.6143
0.9526 0.0474 0.8857
```

Summary:
**Uncorrected formation energy**: -2.80 eV per atom
**Electronic total energy**: -205.9 eV per cell
**Total magnetic moment**: 3.0 μB/f.u.
**V**: 11.2 A^3/atom


3.
Entry from Alexandria via LeMat-Bulk: RbGa3Br at its PBEsol-relaxed geometry (meta-GGA SCAN).

Structure (POSCAR):
```
RbGa3Br
1.0
6.0468 0.0000 0.0000
0.0000 6.0468 0.0000
0.0000 0.0000 6.0468
Rb Ga Br
1 3 1
Direct
0.0000 0.0000 0.0000
0.0000 0.0000 0.5000
0.0000 0.5000 0.0000
0.5000 0.0000 0.0000
0.5000 0.5000 0.5000
```

Summary:
**Uncorrected formation energy**: 1.00 eV per atom
**Electronic total energy**: -84.2 eV per cell
**Total magnetic moment**: 0.0 μB/f.u.
**V**: 44.2 A^3/atom


4.
Entry from Alexandria via LeMat-Bulk: YMn3Re at its PBEsol-relaxed geometry (meta-GGA SCAN).

Structure (POSCAR):
```
YMn3Re
1.0
4.4969 0.0000 0.0000
0.0000 4.4969 0.0000
0.0000 0.0000 4.4969
Y Mn Re
1 3 1
Direct
0.0000 0.0000 0.0000
0.0000 0.0000 0.5000
0.0000 0.5000 0.0000
0.5000 0.0000 0.0000
0.5000 0.5000 0.5000
```

Summary:
**Electronic total energy**: -143.5 eV per cell
**Total magnetic moment**: 9.0 μB/f.u.
**V**: 18.2 A^3/atom
**Energy of formation from the pure elements**: 198 kJ per mole of atoms


What is the formula in the second record?
Ti2CoO5


The highest electronic total energy belongs to which entry?
RbGa3Br